{"formula": "NdSm3Pd2", "functional": "PBE", "state": "optimized geometry", "space_group": "No. 15", "total_energy_ev_per_atom": -5.385, "lattice_angstrom": [[6.4503, -3.4742, 0.0000], [6.4503, 3.4742, 0.0000], [-2.4546, 0.0000, 7.5747]], "species": ["Nd", "Nd", "Sm", "Sm", "Sm", "Sm", "Sm", "Sm", "Pd", "Pd", "Pd", "Pd"], "fractional_positions": [[0.2446, 0.7554, 0.7500], [0.7554, 0.2446, 0.2500], [0.2135, 0.2147, 0.1070], [0.2147, 0.2135, 0.6070], [0.2540, 0.7460, 0.2500], [0.7460, 0.2540, 0.7500], [0.7853, 0.7865, 0.3930], [0.7865, 0.7853, 0.8930], [0.3788, 0.3798, 0.4395], [0.3798, 0.3788, 0.9395], [0.6202, 0.6212, 0.0605], [0.6212, 0.6202, 0.5605]]}

{"formula": "Nd4SmPd4", "functional": "PBE", "state": "optimized geometry", "space_group": "No. 86", "total_energy_ev_per_atom": -5.543, "lattice_angstrom": [[9.1075, 0.0000, 0.0000], [0.0000, 9.1075, 0.0000], [0.0000, 0.0000, 6.0379]], "species": ["Nd", "Nd", "Nd", "Nd", "Nd", "Nd", "Nd", "Nd", "Sm", "Sm", "Pd", "Pd", "Pd", "Pd", "Pd", "Pd", "Pd", "Pd"], "fractional_positions": [[0.0617, 0.6611, 0.1577], [0.1611, 0.9383, 0.6577], [0.3389, 0.5617, 0.6577], [0.4383, 0.8389, 0.1577], [0.5617, 0.1611, 0.8423], [0.6611, 0.4383, 0.3423], [0.8389, 0.0617, 0.3423], [0.9383, 0.3389, 0.8423], [0.2500, 0.2500, 0.2500], [0.7500, 0.7500, 0.7500], [0.0301, 0.6296, 0.6496], [0.1296, 0.9699, 0.1496], [0.3704, 0.5301, 0.1496], [0.4699, 0.8704, 0.6496], [0.5301, 0.1296, 0.3504], [0.6296, 0.4699, 0.8504], [0.8704, 0.0301, 0.8504], [0.9699, 0.3704, 0.3504]]}

{"formula": "NdSmPd", "functional": "PBE", "state": "optimized geometry", "space_group": "No. 107", "total_energy_ev_per_atom": -5.354, "e_above_lowest_polymorph_kj_per_mol_fu": 5, "lattice_angstrom": [[-1.8341, 1.8341, 6.1380], [1.8341, -1.8341, 6.1380], [1.8341, 1.8341, -6.1380]], "species": ["Nd", "Sm", "Pd"], "fractional_positions": [[0.0000, 0.0000, 0.0000], [0.2798, 0.2798, 0.0000], [0.6460, 0.6460, 0.0000]]}

{"formula": "NdSmPd2", "functional": "PBE", "state": "optimized geometry", "space_group": "No. 123", "total_energy_ev_per_atom": -5.731, "e_above_lowest_polymorph_kj_per_mol_fu": 25, "lattice_angstrom": [[5.1478, 0.0000, 0.0000], [0.0000, 5.1478, 0.0000], [0.0000, 0.0000, 3.5263]], "species": ["Nd", "Sm", "Pd", "Pd"], "fractional_positions": [[0.0000, 0.0000, 0.0000], [0.5000, 0.5000, 0.0000], [0.0000, 0.5000, 0.5000], [0.5000, 0.0000, 0.5000]]}